No. 1
Below is an optimized crystal structure of SbAuCl2, with properties calculated at the PBE level.

a = 9.2647 Å, b = 9.2647 Å, c = 9.2647 Å
α = 22.22°, β = 22.22°, γ = 22.22°
Last column: nearest neighbours and their distance in Å.
Fractional coordinates of all 4 atoms:
Sb  0.0000  0.0000  0.0000  2 Cl 2.65
Au  0.5000  0.5000  0.5000  6 Cl 2.78
Cl  0.0976  0.0976  0.0976  1 Sb 2.65, 3 Au 2.78
Cl  0.9024  0.9024  0.9024  1 Sb 2.65, 3 Au 2.78

Calculated values
Total moment in μB per formula unit: 0.00
Space-group type: R-3m (166)
Raw formation energy in eV per atom: -0.05
Energy above the lowest structure with this stoichiometry in meV/atom: 393.8

No. 2
Below is an optimized crystal structure of InTcIr2, with properties calculated at the PBE level.

a = 4.8216 Å, b = 4.8216 Å, c = 2.8490 Å
α = 90.00°, β = 90.00°, γ = 107.84°
Last column: nearest neighbours and their distance in Å.
Fractional coordinates of all 4 atoms:
In  0.0000  0.0000  0.0000  8 Ir 2.80, 2 Tc 2.84, 2 In 2.85
Tc  0.5000  0.5000  0.0000  8 Ir 2.80, 2 In 2.84, 2 Tc 2.85
Ir  0.0000  0.5000  0.5000  4 In 2.80, 4 Tc 2.80, 4 Ir 2.84-2.85
Ir  0.5000  0.0000  0.5000  4 In 2.80, 4 Tc 2.80, 4 Ir 2.84-2.85

Calculated values
Total moment in μB per formula unit: 0.00
Space-group type: Cmmm (65)

No. 3
Below is an optimized crystal structure of Mg2Pd5Rh, with properties calculated at the PBE level.

a = 5.6064 Å, b = 11.1844 Å, c = 3.9443 Å
α = 90.00°, β = 90.00°, γ = 90.00°
Last column: nearest neighbours and their distance in Å.
Fractional coordinates of all 16 atoms:
Mg  0.2398  0.1267  0.0000  10 Pd 2.77-2.82, 2 Rh 2.83
Mg  0.2602  0.6267  0.0000  10 Pd 2.77-2.82, 2 Rh 2.83
Mg  0.7398  0.3733  0.0000  10 Pd 2.77-2.82, 2 Rh 2.83
Mg  0.7602  0.8733  0.0000  10 Pd 2.77-2.82, 2 Rh 2.83
Pd  0.0000  0.0000  0.5000  4 Mg 2.78, 2 Rh 2.80, 6 Pd 2.81-2.82
Pd  0.0129  0.7481  0.5000  4 Mg 2.77-2.80, 1 Rh 2.78, 7 Pd 2.80-2.82
Pd  0.2382  0.3786  0.0000  2 Rh 2.74, 4 Mg 2.78-2.82, 6 Pd 2.81-2.82
Pd  0.2618  0.8786  0.0000  2 Rh 2.74, 4 Mg 2.78-2.82, 6 Pd 2.81-2.82
Pd  0.4871  0.2481  0.5000  4 Mg 2.77-2.80, 1 Rh 2.78, 7 Pd 2.80-2.82
Pd  0.5000  0.5000  0.5000  4 Mg 2.78, 2 Rh 2.80, 6 Pd 2.81-2.82
Pd  0.5129  0.7519  0.5000  4 Mg 2.77-2.80, 1 Rh 2.78, 7 Pd 2.80-2.82
Pd  0.7382  0.1214  0.0000  2 Rh 2.74, 4 Mg 2.78-2.82, 6 Pd 2.81-2.82
Pd  0.7618  0.6214  0.0000  2 Rh 2.74, 4 Mg 2.78-2.82, 6 Pd 2.81-2.82
Pd  0.9871  0.2519  0.5000  4 Mg 2.77-2.80, 1 Rh 2.78, 7 Pd 2.80-2.82
Rh  0.0000  0.5000  0.5000  8 Pd 2.74-2.80, 4 Mg 2.83
Rh  0.5000  0.0000  0.5000  8 Pd 2.74-2.80, 4 Mg 2.83

Calculated values
Total moment in μB per formula unit: 0.00
Space-group type: Pbam (55)

No. 4
Below is an optimized crystal structure of CSe2, with properties calculated at the PBE level.

a = 7.6267 Å, b = 7.6267 Å, c = 8.8092 Å
α = 103.19°, β = 103.19°, γ = 107.11°
Last column: nearest neighbours and their distance in Å.
Fractional coordinates of all 9 atoms:
C  0.0000  0.0000  0.0000  2 Se 1.71
C  0.1963  0.8037  0.5000  2 Se 1.71
C  0.8037  0.1963  0.5000  2 Se 1.71
Se  0.0428  0.6494  0.3119  1 C 1.71
Se  0.1911  0.1911  0.1435  1 C 1.71
Se  0.3506  0.9572  0.6881  1 C 1.71
Se  0.6494  0.0428  0.3119  1 C 1.71
Se  0.8089  0.8089  0.8565  1 C 1.71
Se  0.9572  0.3506  0.6881  1 C 1.71

Calculated values
Total moment in μB per formula unit: 0.00
Space-group type: C2/m (12)
Raw formation energy in eV per atom: 0.67
Energy above the lowest structure with this stoichiometry in meV/atom: 112.5

| no. | E_tot (eV/cell) |
| --- | --- |
| 1 | -11.30 |
| 2 | -30.44 |
| 3 | -79.47 |
| 4 | -42.52 |